# Cs2Sr4H | the Alexandria database | PBE-GGA | optimized geometry
# Density (Mg/m³): 2.43
# Space-group type: I4/mmm, No. 139
# E (eV per atom): -1.59
data_Cs2Sr4H
_chemical_formula_sum 'Cs2 Sr4 H1'
_cell_length_a 12.588
_cell_length_b 12.588
_cell_length_c 12.588
_cell_angle_alpha 152.62
_cell_angle_beta 152.62
_cell_angle_gamma 39.10
_space_group_name_H-M_alt 'P 1'
_space_group_IT_number 1
loop_
_space_group_symop_operation_xyz
'x,y,z'
loop_
_atom_site_label
_atom_site_fract_x
_atom_site_fract_y
_atom_site_fract_z
_atom_site_occupancy
Cs1 0.179 0.179 0.000 1
Cs2 0.821 0.821 0.000 1
Sr1 0.000 0.500 0.500 1
Sr2 0.388 0.388 0.000 1
Sr3 0.500 0.000 0.500 1
Sr4 0.612 0.612 0.000 1
H1 0.500 0.500 0.000 1